CdSnMo2 | GGA-PBE | optimized geometry

Computed properties:
ΔE to the lowest computed polymorph in meV/atom: 0
E_form in meV/atom: 577

abc: 4.665 4.665 4.665
angles: 60.00 60.00 60.00
Atoms (fractional coordinates):
Sn 0.500 0.500 0.500
Mo 0.250 0.250 0.250
Mo 0.750 0.750 0.750
Cd 0.000 0.000 0.000